LiAgAu2 PBE optimized geometry; ΔE to the lowest computed polymorph = 18 kJ/mol of formula units; magnetic moment = 0.0 μB per formula unit; symmetry = Pmm2 (25); energy relative to the elements = -263 meV per atom; crystal system = orthorhombic
1.0
2.876 0.000 0.000
0.000 4.123 0.000
0.000 0.000 5.782
Li Ag Au
1 1 2
direct
0.000 0.000 0.000
0.500 0.500 0.259
0.000 0.000 0.506
0.500 0.500 0.779